# CsLi2NpI6 (PBE-GGA, optimized geometry)
data_CsLi2NpI6
_cell_length_a 15.672
_cell_length_b 15.009
_cell_length_c 9.211
_cell_angle_alpha 90.00
_cell_angle_beta 112.72
_cell_angle_gamma 90.00
_symmetry_space_group_name_H-M 'C 1 2/c 1'
_symmetry_Int_Tables_number 15
loop_
_symmetry_equiv_pos_as_xyz
'x,y,z'
'-x,-y,-z'
'-x,y,-z+1/2'
'x,-y,z+1/2'
'x+1/2,y+1/2,z'
'-x+1/2,-y+1/2,-z'
'-x+1/2,y+1/2,-z+1/2'
'x+1/2,-y+1/2,z+1/2'
loop_
_atom_site_label
_atom_site_fract_x
_atom_site_fract_y
_atom_site_fract_z
_atom_site_occupancy
Cs1 0.000 0.086 0.250 1
Li1 0.191 0.429 0.100 1
Np1 0.000 0.282 0.750 1
I1 0.086 0.289 0.112 1
I2 0.126 0.126 0.712 1
I3 0.151 0.429 0.776 1
# crystal system: monoclinic
# density of states at the Fermi level: 0.820 states/eV per atom
# ΔE_f (raw): -11.10 eV per formula unit
# density: 3.8 Mg/m³

=====

# CsLiNpI6 (PBE-GGA, optimized geometry)
data_CsLiNpI6
_cell_length_a 7.7842
_cell_length_b 7.7842
_cell_length_c 17.6121
_cell_angle_alpha 90.00
_cell_angle_beta 90.00
_cell_angle_gamma 120.00
_symmetry_space_group_name_H-M 'P -3 1 c'
_symmetry_Int_Tables_number 163
_symmetry_space_group_name_Hall '-P 3 2c'
loop_
_atom_site_label
_atom_site_fract_x
_atom_site_fract_y
_atom_site_fract_z
_atom_site_occupancy
Cs1 0.0000 0.0000 0.0000 1
Li1 0.3333 0.6667 0.2500 1
Np1 0.3333 0.6667 0.7500 1
I1 0.0018 0.3667 0.6517 1
# crystal system: trigonal
# density of states at the Fermi level: 0.477 states/eV per atom
# ΔE_f (raw): -9.47 eV per formula unit
# density: 4.1 Mg/m³

=====

# CsLiIO2 (PBE-GGA, optimized geometry)
data_CsLiIO2
_cell_length_a 4.356
_cell_length_b 4.356
_cell_length_c 7.886
_cell_angle_alpha 90.00
_cell_angle_beta 90.00
_cell_angle_gamma 90.00
_symmetry_space_group_name_H-M 'P 4/m m m'
_symmetry_Int_Tables_number 123
_symmetry_space_group_name_Hall '-P 4 2'
loop_
_atom_site_label
_atom_site_fract_x
_atom_site_fract_y
_atom_site_fract_z
_atom_site_occupancy
Cs1 0.000 0.000 0.000 1
Li1 0.500 0.500 0.500 1
I1 0.000 0.000 0.500 1
O1 0.000 0.500 0.000 1
# crystal system: tetragonal
# density of states at the Fermi level: 0.329 states/eV per atom
# ΔE_f (raw): -0.20 eV per formula unit
# density: 3.3 Mg/m³

=====

# CsLiI2O (PBE-GGA, optimized geometry)
data_CsLiI2O
_cell_length_a 6.619
_cell_length_b 6.619
_cell_length_c 3.849
_cell_angle_alpha 90.00
_cell_angle_beta 90.00
_cell_angle_gamma 90.00
_symmetry_space_group_name_H-M 'P 4/m m m'
_symmetry_Int_Tables_number 123
_symmetry_space_group_name_Hall '-P 4 2'
loop_
_atom_site_label
_atom_site_fract_x
_atom_site_fract_y
_atom_site_fract_z
_atom_site_occupancy
Cs1 0.000 0.000 0.000 1
Li1 0.500 0.500 0.500 1
I1 0.000 0.500 0.500 1
O1 0.500 0.500 0.000 1
# crystal system: tetragonal
# energy above the most stable polymorph in this dataset: 0.0000 eV per atom
# density of states at the Fermi level: 0.795 states/eV per atom
# ΔE_f (raw): -3.57 eV per formula unit
# density: 4.0 Mg/m³

=====

# CsLiI2O (PBE-GGA, optimized geometry)
data_CsLiI2O
_cell_length_a 7.182
_cell_length_b 7.182
_cell_length_c 4.423
_cell_angle_alpha 90.00
_cell_angle_beta 90.00
_cell_angle_gamma 90.00
_symmetry_space_group_name_H-M 'P 4/m m m'
_symmetry_Int_Tables_number 123
_symmetry_space_group_name_Hall '-P 4 2'
loop_
_atom_site_label
_atom_site_fract_x
_atom_site_fract_y
_atom_site_fract_z
_atom_site_occupancy
Cs1 0.000 0.000 0.000 1
Li1 0.500 0.500 0.500 1
I1 0.000 0.500 0.000 1
O1 0.000 0.000 0.500 1
# crystal system: tetragonal
# energy above the most stable polymorph in this dataset: 0.5514 eV per atom
# density of states at the Fermi level: 1.241 states/eV per atom
# ΔE_f (raw): -0.81 eV per formula unit
# density: 3.0 Mg/m³

=====

# Cs2LiIO (PBE-GGA, optimized geometry)
data_Cs2LiIO
_cell_length_a 6.473
_cell_length_b 6.473
_cell_length_c 3.955
_cell_angle_alpha 90.00
_cell_angle_beta 90.00
_cell_angle_gamma 90.00
_symmetry_space_group_name_H-M 'P 4/m m m'
_symmetry_Int_Tables_number 123
_symmetry_space_group_name_Hall '-P 4 2'
loop_
_atom_site_label
_atom_site_fract_x
_atom_site_fract_y
_atom_site_fract_z
_atom_site_occupancy
Cs1 0.000 0.500 0.000 1
Li1 0.000 0.000 0.500 1
I1 0.500 0.500 0.500 1
O1 0.000 0.000 0.000 1
# crystal system: tetragonal
# density of states at the Fermi level: 0.000 states/eV per atom
# ΔE_f (raw): -6.45 eV per formula unit
# density: 4.2 Mg/m³

=====

# Cs2LiOsI6 (PBE-GGA, optimized geometry)
data_Cs2LiOsI6
_cell_length_a 8.200
_cell_length_b 8.200
_cell_length_c 11.575
_cell_angle_alpha 90.00
_cell_angle_beta 90.00
_cell_angle_gamma 90.00
_symmetry_space_group_name_H-M 'I 4/m m m'
_symmetry_Int_Tables_number 139
_symmetry_space_group_name_Hall '-I 4 2'
loop_
_atom_site_label
_atom_site_fract_x
_atom_site_fract_y
_atom_site_fract_z
_atom_site_occupancy
Cs1 0.000 0.500 0.250 1
Li1 0.000 0.000 0.000 1
Os1 0.000 0.000 0.500 1
I1 0.000 0.000 0.264 1
I2 0.236 0.236 0.500 1
# crystal system: tetragonal
# density of states at the Fermi level: 0.987 states/eV per atom
# ΔE_f (raw): -7.02 eV per formula unit
# density: 5.2 Mg/m³

=====

# Cs2LiPI6 (PBE-GGA, optimized geometry)
data_Cs2LiPI6
_cell_length_a 11.722
_cell_length_b 11.722
_cell_length_c 11.722
_cell_angle_alpha 90.00
_cell_angle_beta 90.00
_cell_angle_gamma 90.00
_symmetry_space_group_name_H-M 'F m -3 m'
_symmetry_Int_Tables_number 225
_symmetry_space_group_name_Hall '-F 4 2 3'
loop_
_atom_site_label
_atom_site_fract_x
_atom_site_fract_y
_atom_site_fract_z
_atom_site_occupancy
Cs1 0.250 0.250 0.250 1
Li1 0.000 0.000 0.000 1
P1 0.000 0.000 0.500 1
I1 0.000 0.000 0.260 1
# crystal system: cubic
# density of states at the Fermi level: 0.000 states/eV per atom
# ΔE_f (raw): -8.33 eV per formula unit
# density: 4.4 Mg/m³

=====

# Cs2Li3PaI12 (PBE-GGA, optimized geometry)
data_Cs2Li3PaI12
_cell_length_a 8.7868
_cell_length_b 8.7868
_cell_length_c 40.7585
_cell_angle_alpha 90.00
_cell_angle_beta 90.00
_cell_angle_gamma 120.00
_symmetry_space_group_name_H-M 'R -3 m'
_symmetry_Int_Tables_number 166
_symmetry_space_group_name_Hall '-R 3 2"'
loop_
_atom_site_label
_atom_site_fract_x
_atom_site_fract_y
_atom_site_fract_z
_atom_site_occupancy
Cs1 0.0000 0.0000 0.1032 1
Li1 0.0000 0.5000 0.0000 1
Pa1 0.0000 0.0000 0.5000 1
I1 0.0140 0.5070 0.1252 1
I2 0.0299 0.5150 0.3675 1
# crystal system: trigonal
# density of states at the Fermi level: 0.341 states/eV per atom
# ΔE_f (raw): -17.24 eV per formula unit
# density: 3.7 Mg/m³

=====

# CsLi2PaI8 (PBE-GGA, optimized geometry)
data_CsLi2PaI8
_cell_length_a 12.330
_cell_length_b 8.458
_cell_length_c 11.388
_cell_angle_alpha 90.00
_cell_angle_beta 95.02
_cell_angle_gamma 90.00
_symmetry_space_group_name_H-M 'C 1 2/m 1'
_symmetry_Int_Tables_number 12
loop_
_symmetry_equiv_pos_as_xyz
'x,y,z'
'-x,-y,-z'
'-x,y,-z'
'x,-y,z'
'x+1/2,y+1/2,z'
'-x+1/2,-y+1/2,-z'
'-x+1/2,y+1/2,-z'
'x+1/2,-y+1/2,z'
loop_
_atom_site_label
_atom_site_fract_x
_atom_site_fract_y
_atom_site_fract_z
_atom_site_occupancy
Cs1 0.000 0.000 0.000 1
Li1 0.140 0.500 0.281 1
Pa1 0.000 0.000 0.500 1
I1 0.019 0.246 0.687 1
I2 0.196 0.500 0.069 1
I3 0.239 0.000 0.493 1
# crystal system: monoclinic
# density of states at the Fermi level: 0.511 states/eV per atom
# ΔE_f (raw): -12.62 eV per formula unit
# density: 3.9 Mg/m³

=====

# CsLiPaI6 (PBE-GGA, optimized geometry)
data_CsLiPaI6
_cell_length_a 7.8486
_cell_length_b 7.8486
_cell_length_c 17.6226
_cell_angle_alpha 90.00
_cell_angle_beta 90.00
_cell_angle_gamma 120.00
_symmetry_space_group_name_H-M 'P -3 1 c'
_symmetry_Int_Tables_number 163
_symmetry_space_group_name_Hall '-P 3 2c'
loop_
_atom_site_label
_atom_site_fract_x
_atom_site_fract_y
_atom_site_fract_z
_atom_site_occupancy
Cs1 0.0000 0.0000 0.0000 1
Li1 0.3333 0.6667 0.2500 1
Pa1 0.3333 0.6667 0.7500 1
I1 0.9998 0.3662 0.1507 1
# crystal system: trigonal
# density of states at the Fermi level: 0.106 states/eV per atom
# ΔE_f (raw): -10.45 eV per formula unit
# density: 4.0 Mg/m³

=====

# Cs2LiPbI6 (PBE-GGA, optimized geometry)
data_Cs2LiPbI6
_cell_length_a 12.185
_cell_length_b 12.185
_cell_length_c 12.185
_cell_angle_alpha 90.00
_cell_angle_beta 90.00
_cell_angle_gamma 90.00
_symmetry_space_group_name_H-M 'F m -3 m'
_symmetry_Int_Tables_number 225
_symmetry_space_group_name_Hall '-F 4 2 3'
loop_
_atom_site_label
_atom_site_fract_x
_atom_site_fract_y
_atom_site_fract_z
_atom_site_occupancy
Cs1 0.250 0.250 0.250 1
Li1 0.000 0.000 0.000 1
Pb1 0.000 0.000 0.500 1
I1 0.000 0.000 0.243 1
# crystal system: cubic
# density of states at the Fermi level: 0.822 states/eV per atom
# ΔE_f (raw): -9.93 eV per formula unit
# density: 4.6 Mg/m³

=====

# Cs2LiPbI5 (PBE-GGA, optimized geometry)
data_Cs2LiPbI5
_cell_length_a 4.902
_cell_length_b 22.666
_cell_length_c 15.600
_cell_angle_alpha 90.00
_cell_angle_beta 90.00
_cell_angle_gamma 90.00
_symmetry_space_group_name_H-M 'C m c 21'
_symmetry_Int_Tables_number 36
loop_
_symmetry_equiv_pos_as_xyz
'x,y,z'
'-x,-y,z+1/2'
'-x,y,z'
'x,-y,z+1/2'
'x+1/2,y+1/2,z'
'-x+1/2,-y+1/2,z+1/2'
'-x+1/2,y+1/2,z'
'x+1/2,-y+1/2,z+1/2'
loop_
_atom_site_label
_atom_site_fract_x
_atom_site_fract_y
_atom_site_fract_z
_atom_site_occupancy
Cs1 0.000 0.106 0.000 1
Cs2 0.000 0.124 0.625 1
Li1 0.000 0.431 0.762 1
Pb1 0.000 0.210 0.337 1
I1 0.000 0.065 0.355 1
I2 0.000 0.281 0.978 1
I3 0.000 0.309 0.697 1
I4 0.000 0.350 0.316 1
I5 0.000 0.495 0.615 1
# crystal system: orthorhombic
# density of states at the Fermi level: 0.000 states/eV per atom
# ΔE_f (raw): -10.66 eV per formula unit
# density: 4.3 Mg/m³

=====

# Cs3Li2PbI6 (PBE-GGA, optimized geometry)
data_Cs3Li2PbI6
_cell_length_a 8.9061
_cell_length_b 8.9061
_cell_length_c 10.1879
_cell_angle_alpha 90.00
_cell_angle_beta 90.00
_cell_angle_gamma 120.00
_symmetry_space_group_name_H-M 'P -3 m 1'
_symmetry_Int_Tables_number 164
_symmetry_space_group_name_Hall '-P 3 2"'
loop_
_atom_site_label
_atom_site_fract_x
_atom_site_fract_y
_atom_site_fract_z
_atom_site_occupancy
Cs1 0.0000 0.0000 0.0000 1
Cs2 0.3333 0.6667 0.6089 1
Li1 0.3333 0.6667 0.2163 1
Pb1 0.0000 0.0000 0.5000 1
I1 0.1679 0.3359 0.2818 1
# crystal system: trigonal
# density of states at the Fermi level: 0.414 states/eV per atom
# ΔE_f (raw): -12.73 eV per formula unit
# density: 3.3 Mg/m³

=====

# Cs2Li2PbI6 (PBE-GGA, optimized geometry)
data_Cs2Li2PbI6
_cell_length_a 14.909
_cell_length_b 8.723
_cell_length_c 9.242
_cell_angle_alpha 90.00
_cell_angle_beta 116.94
_cell_angle_gamma 90.00
_symmetry_space_group_name_H-M 'C 1 2/m 1'
_symmetry_Int_Tables_number 12
loop_
_symmetry_equiv_pos_as_xyz
'x,y,z'
'-x,-y,-z'
'-x,y,-z'
'x,-y,z'
'x+1/2,y+1/2,z'
'-x+1/2,-y+1/2,-z'
'-x+1/2,y+1/2,-z'
'x+1/2,-y+1/2,z'
loop_
_atom_site_label
_atom_site_fract_x
_atom_site_fract_y
_atom_site_fract_z
_atom_site_occupancy
Cs1 0.210 0.000 0.183 1
Li1 0.062 0.500 0.268 1
Pb1 0.000 0.000 0.500 1
I1 0.049 0.247 0.791 1
I2 0.240 0.000 0.621 1
# crystal system: monoclinic
# density of states at the Fermi level: 0.000 states/eV per atom
# ΔE_f (raw): -12.62 eV per formula unit
# density: 3.9 Mg/m³

=====

# Cs2LiPdI6 (PBE-GGA, optimized geometry)
data_Cs2LiPdI6
_cell_length_a 8.218
_cell_length_b 8.218
_cell_length_c 11.603
_cell_angle_alpha 90.00
_cell_angle_beta 90.00
_cell_angle_gamma 90.00
_symmetry_space_group_name_H-M 'I 4/m m m'
_symmetry_Int_Tables_number 139
_symmetry_space_group_name_Hall '-I 4 2'
loop_
_atom_site_label
_atom_site_fract_x
_atom_site_fract_y
_atom_site_fract_z
_atom_site_occupancy
Cs1 0.000 0.500 0.250 1
Li1 0.000 0.000 0.000 1
Pd1 0.000 0.000 0.500 1
I1 0.000 0.000 0.259 1
I2 0.241 0.241 0.500 1
# crystal system: tetragonal
# energy above the most stable polymorph in this dataset: 0.0217 eV per atom
# density of states at the Fermi level: 0.407 states/eV per atom
# ΔE_f (raw): -8.73 eV per formula unit
# density: 4.8 Mg/m³

=====

# Cs2LiPdI6 (PBE-GGA, optimized geometry)
data_Cs2LiPdI6
_cell_length_a 8.1273
_cell_length_b 8.1273
_cell_length_c 42.1233
_cell_angle_alpha 90.00
_cell_angle_beta 90.00
_cell_angle_gamma 120.00
_symmetry_space_group_name_H-M 'R -3 m'
_symmetry_Int_Tables_number 166
_symmetry_space_group_name_Hall '-R 3 2"'
loop_
_atom_site_label
_atom_site_fract_x
_atom_site_fract_y
_atom_site_fract_z
_atom_site_occupancy
Cs1 0.0000 0.0000 0.1207 1
Cs2 0.0000 0.0000 0.2964 1
Li1 0.0000 0.0000 0.4220 1
Pd1 0.0000 0.0000 0.0000 1
Pd2 0.0000 0.0000 0.5000 1
I1 0.0077 0.5038 0.1285 1
I2 0.0090 0.5045 0.7051 1
# crystal system: trigonal
# energy above the most stable polymorph in this dataset: 0.0000 eV per atom
# density of states at the Fermi level: 0.470 states/eV per atom
# ΔE_f (raw): -8.95 eV per formula unit
# density: 4.7 Mg/m³

=====

# CsLiPmI5 (PBE-GGA, optimized geometry)
data_CsLiPmI5
_cell_length_a 10.461
_cell_length_b 14.066
_cell_length_c 11.775
_cell_angle_alpha 90.00
_cell_angle_beta 113.25
_cell_angle_gamma 90.00
_symmetry_space_group_name_H-M 'C 1 2/c 1'
_symmetry_Int_Tables_number 15
loop_
_symmetry_equiv_pos_as_xyz
'x,y,z'
'-x,-y,-z'
'-x,y,-z+1/2'
'x,-y,z+1/2'
'x+1/2,y+1/2,z'
'-x+1/2,-y+1/2,-z'
'-x+1/2,y+1/2,-z+1/2'
'x+1/2,-y+1/2,z+1/2'
loop_
_atom_site_label
_atom_site_fract_x
_atom_site_fract_y
_atom_site_fract_z
_atom_site_occupancy
Cs1 0.000 0.153 0.250 1
Li1 0.000 0.193 0.750 1
Pm1 0.000 0.500 0.000 1
I1 0.000 0.427 0.250 1
I2 0.103 0.298 0.603 1
I3 0.196 0.070 0.926 1
# crystal system: monoclinic
# density of states at the Fermi level: 0.000 states/eV per atom
# ΔE_f (raw): -11.13 eV per formula unit
# density: 3.8 Mg/m³

=====

# Cs3Li2PmI9 (PBE-GGA, optimized geometry)
data_Cs3Li2PmI9
_cell_length_a 8.5049
_cell_length_b 8.5049
_cell_length_c 10.5859
_cell_angle_alpha 90.00
_cell_angle_beta 90.00
_cell_angle_gamma 120.00
_symmetry_space_group_name_H-M 'P -3 m 1'
_symmetry_Int_Tables_number 164
_symmetry_space_group_name_Hall '-P 3 2"'
loop_
_atom_site_label
_atom_site_fract_x
_atom_site_fract_y
_atom_site_fract_z
_atom_site_occupancy
Cs1 0.0000 0.0000 0.0000 1
Cs2 0.3333 0.6667 0.6766 1
Li1 0.3333 0.6667 0.1407 1
Pm1 0.0000 0.0000 0.5000 1
I1 0.0000 0.5000 0.0000 1
I2 0.1704 0.3407 0.3303 1
# crystal system: trigonal
# density of states at the Fermi level: 1.118 states/eV per atom
# ΔE_f (raw): -19.23 eV per formula unit
# density: 4.3 Mg/m³

=====

# Cs2Li2PmI6 (PBE-GGA, optimized geometry)
data_Cs2Li2PmI6
_cell_length_a 14.541
_cell_length_b 8.805
_cell_length_c 8.921
_cell_angle_alpha 90.00
_cell_angle_beta 113.63
_cell_angle_gamma 90.00
_symmetry_space_group_name_H-M 'C 1 2/m 1'
_symmetry_Int_Tables_number 12
loop_
_symmetry_equiv_pos_as_xyz
'x,y,z'
'-x,-y,-z'
'-x,y,-z'
'x,-y,z'
'x+1/2,y+1/2,z'
'-x+1/2,-y+1/2,-z'
'-x+1/2,y+1/2,-z'
'x+1/2,-y+1/2,z'
loop_
_atom_site_label
_atom_site_fract_x
_atom_site_fract_y
_atom_site_fract_z
_atom_site_occupancy
Cs1 0.200 0.000 0.179 1
Li1 0.064 0.500 0.272 1
Pm1 0.000 0.000 0.500 1
I1 0.047 0.248 0.783 1
I2 0.239 0.000 0.631 1
# crystal system: monoclinic
# density of states at the Fermi level: 0.253 states/eV per atom
# ΔE_f (raw): -13.85 eV per formula unit
# density: 3.8 Mg/m³